Tb4Al: relaxed, PBE.

abc: 7.903 7.903 7.903
angles: 60.00 60.00 60.00
Fractional coordinates of all 10 atoms:
Tb1 0.193 0.769 0.769
Tb2 0.231 0.231 0.231
Tb3 0.231 0.231 0.807
Tb4 0.231 0.807 0.231
Tb5 0.769 0.193 0.769
Tb6 0.769 0.769 0.193
Tb7 0.769 0.769 0.769
Tb8 0.807 0.231 0.231
Al1 0.375 0.375 0.375
Al2 0.625 0.625 0.625

Summary:
density of states at the Fermi level: 1.91 states/eV per atom
formation energy from the elements: 498 meV per atom
E_tot: -3.954 eV per atom
total magnetic moment: 0.00 μB per atom
energy above the most stable polymorph in this dataset: 3.21 eV/f.u.
volume: 34.905 Å³ per atom